[1]
RbAcTeI | Alexandria | GGA-PBE | optimized geometry; polymorph energy (0 for the lowest one) = 195 meV/atom; crystal system = cubic; raw formation energy = -1.066 eV/atom; spin magnetization = 0.0 μB per formula unit
1.0
0.0000 4.1753 4.1753
4.1753 0.0000 4.1753
4.1753 4.1753 0.0000
Rb Ac Te I
1 1 1 1
Cartesian
0.0000 0.0000 0.0000 Rb
4.1753 4.1753 4.1753 Ac
6.2630 6.2630 6.2630 Te
2.0877 2.0877 2.0877 I



[2]
CuRuPt2O | Alexandria | GGA-PBE | optimized geometry; crystal system = tetragonal; raw formation energy = 0.537 eV/atom; spin magnetization = 2.3 μB per formula unit
1.0
4.3489 0.0000 0.0000
0.0000 4.3489 0.0000
0.0000 0.0000 3.7667
Cu Ru Pt O
1 1 2 1
Cartesian
0.0000 0.0000 0.0000 Cu
2.1745 2.1745 0.0000 Ru
0.0000 2.1745 1.8833 Pt
2.1745 0.0000 1.8833 Pt
0.0000 0.0000 1.8833 O



[3]
Rb2CaGa2 | Alexandria | GGA-PBE | optimized geometry; formation enthalpy at 0 K = 78 meV/atom; crystal system = tetragonal; spin magnetization = 0.0 μB per formula unit
1.0
8.0669 0.0000 0.0000
0.0000 8.0669 0.0000
0.0000 0.0000 6.2019
Rb Ca Ga
4 2 4
Cartesian
1.4550 2.5784 0.0000 Rb
2.5784 6.6119 0.0000 Rb
5.4885 1.4550 0.0000 Rb
6.6119 5.4885 0.0000 Rb
0.0000 0.0000 3.1009 Ca
4.0335 4.0335 3.1009 Ca
0.8876 4.9210 3.1009 Ga
3.1459 0.8876 3.1009 Ga
4.9210 7.1794 3.1009 Ga
7.1794 3.1459 3.1009 Ga



[4]
CaTb2MoN4 | Alexandria | GGA-PBE | optimized geometry; crystal system = orthorhombic; raw formation energy = -1.050 eV/atom; spin magnetization = 0.0 μB per formula unit
1.0
1.6831 -6.0624 0.0000
1.6831 6.0624 0.0000
0.0000 0.0000 12.2011
Ca Tb Mo N
2 4 2 8
Cartesian
1.6831 5.2293 9.1508 Ca
1.6831 -5.2293 3.0503 Ca
1.6831 1.5454 6.5802 Tb
1.6831 1.5454 11.7214 Tb
1.6831 -1.5454 0.4797 Tb
1.6831 -1.5454 5.6208 Tb
1.6831 3.8103 3.0503 Mo
1.6831 -3.8103 9.1508 Mo
0.0000 0.0000 0.0000 N
0.0000 0.0000 6.1005 N
1.6831 2.8757 1.4331 N
1.6831 2.8757 4.6674 N
1.6831 0.9136 9.1508 N
1.6831 -0.9136 3.0503 N
1.6831 -2.8757 7.5336 N
1.6831 -2.8757 10.7680 N



[5]
MgReBr2 | Alexandria | GGA-PBE | optimized geometry; polymorph energy (0 for the lowest one) = 766 meV/atom; crystal system = tetragonal; raw formation energy = 0.812 eV/atom; spin magnetization = 0.3 μB per formula unit
1.0
4.7659 0.0000 0.0000
0.0000 4.7659 0.0000
0.0000 0.0000 3.2283
Mg Re Br
1 1 2
Cartesian
0.0000 0.0000 0.0000 Mg
2.3829 2.3829 0.0000 Re
0.0000 2.3829 1.6142 Br
2.3829 0.0000 1.6142 Br



[6]
La5Pm4Nd3 | Alexandria | GGA-PBE | optimized geometry; polymorph energy (0 for the lowest one) = 195 meV/atom; formation enthalpy at 0 K = 211 meV/atom; crystal system = monoclinic; spin magnetization = 0.0 μB per formula unit
1.0
9.3228 -2.9662 0.0000
9.3228 2.9662 0.0000
-4.3851 0.0000 7.9250
La Pm Nd
5 4 3
Cartesian
0.0000 0.0000 0.0000 La
5.7923 0.0000 0.8239 La
4.8517 0.0000 4.5494 La
9.4088 0.0000 3.3755 La
8.4682 0.0000 7.1011 La
-2.4929 0.0000 5.5711 Pm
0.8940 0.0000 5.1144 Pm
13.3665 0.0000 2.8106 Pm
16.7533 0.0000 2.3539 Pm
2.4548 0.0000 1.7555 Nd
9.3228 0.0000 0.0000 Nd
11.8056 0.0000 6.1695 Nd



[7]
CrCo2Os | Alexandria | GGA-PBE | optimized geometry; polymorph energy (0 for the lowest one) = 610 meV/atom; formation enthalpy at 0 K = 621 meV/atom; crystal system = tetragonal; spin magnetization = 0.6 μB per formula unit
1.0
-1.7401 1.7401 8.5061
1.7401 -1.7401 8.5061
1.7401 1.7401 -8.5061
Cr Co Os
2 4 2
Cartesian
0.0000 0.0000 0.0000 Cr
0.0000 1.7401 4.2530 Cr
2.6102 0.8425 -2.1265 Co
0.8425 0.8701 2.1265 Co
-0.8701 0.8976 6.3796 Co
0.8976 0.8701 10.6326 Co
1.7401 0.0000 4.2530 Os
0.0000 0.0000 8.5061 Os



[8]
Ir2AuBr | Alexandria | GGA-PBE | optimized geometry; polymorph energy (0 for the lowest one) = 615 meV/atom; crystal system = tetragonal; raw formation energy = 1.070 eV/atom; spin magnetization = 0.0 μB per formula unit
1.0
4.8194 0.0000 0.0000
0.0000 4.8194 0.0000
0.0000 0.0000 2.9008
Ir Au Br
2 1 1
Cartesian
0.0000 2.4097 0.0000 Ir
2.4097 0.0000 0.0000 Ir
0.0000 0.0000 1.4504 Au
2.4097 2.4097 1.4504 Br



[9]
LiSi2Bi2 | Alexandria | GGA-PBE | optimized geometry; polymorph energy (0 for the lowest one) = 127 meV/atom; crystal system = tetragonal; raw formation energy = 0.226 eV/atom; spin magnetization = 0.0 μB per formula unit
1.0
7.1043 0.0000 0.0000
0.0000 7.1043 0.0000
0.0000 0.0000 4.5831
Li Si Bi
2 4 4
Cartesian
0.0000 0.0000 0.0000 Li
3.5521 3.5521 0.0000 Li
0.8381 2.7140 0.0000 Si
2.7140 6.2661 0.0000 Si
4.3903 0.8381 0.0000 Si
6.2661 4.3903 0.0000 Si
1.3471 4.8993 2.2916 Bi
2.2050 1.3471 2.2916 Bi
4.8993 5.7571 2.2916 Bi
5.7571 2.2050 2.2916 Bi



[10]
BaLiNd2Te4 | Alexandria | GGA-PBE | optimized geometry; crystal system = orthorhombic; raw formation energy = -1.456 eV/atom; spin magnetization = 0.0 μB per formula unit
1.0
2.2936 -7.5803 0.0000
2.2936 7.5803 0.0000
0.0000 0.0000 15.7616
Ba Li Nd Te
2 2 4 8
Cartesian
2.2936 5.7754 11.8212 Ba
2.2936 -5.7754 3.9404 Ba
2.2936 5.2730 3.9404 Li
2.2936 -5.2730 11.8212 Li
2.2936 1.9433 8.7946 Nd
2.2936 1.9433 14.8478 Nd
2.2936 -1.9433 0.9138 Nd
2.2936 -1.9433 6.9670 Nd
0.0000 0.0000 0.0000 Te
0.0000 0.0000 7.8808 Te
2.2936 3.5003 1.8460 Te
2.2936 3.5003 6.0348 Te
2.2936 0.8425 11.8212 Te
2.2936 -0.8425 3.9404 Te
2.2936 -3.5003 9.7268 Te
2.2936 -3.5003 13.9156 Te



[11]
DySc2Fe | Alexandria | GGA-PBE | optimized geometry; polymorph energy (0 for the lowest one) = 19 meV/atom; formation enthalpy at 0 K = -37 meV/atom; crystal system = tetragonal; spin magnetization = 0.0 μB per formula unit
1.0
3.1796 0.0000 0.0000
0.0000 3.1796 0.0000
0.0000 0.0000 8.4727
Dy Sc Fe
1 2 1
Cartesian
0.0000 0.0000 0.0000 Dy
1.5898 1.5898 2.7507 Sc
1.5898 1.5898 5.7219 Sc
0.0000 0.0000 4.2363 Fe



[12]
ScCrCd2 | Alexandria | GGA-PBE | optimized geometry; polymorph energy (0 for the lowest one) = 49 meV/atom; formation enthalpy at 0 K = 92 meV/atom; crystal system = tetragonal; spin magnetization = 4.8 μB per formula unit
1.0
-2.4232 2.4232 3.4138
2.4232 -2.4232 3.4138
2.4232 2.4232 -3.4138
Sc Cr Cd
1 1 2
Cartesian
0.0000 0.0000 0.0000 Sc
0.0000 2.4232 1.7069 Cr
2.4232 0.0000 1.7069 Cd
0.0000 0.0000 3.4138 Cd



[13]
ScBeAg | Alexandria | GGA-PBE | optimized geometry; polymorph energy (0 for the lowest one) = 52 meV/atom; formation enthalpy at 0 K = -23 meV/atom; crystal system = tetragonal; spin magnetization = 0.0 μB per formula unit
1.0
-1.5665 1.5665 4.9833
1.5665 -1.5665 4.9833
1.5665 1.5665 -4.9833
Sc Be Ag
1 1 1
Cartesian
0.0000 0.0000 0.0000 Sc
0.0000 0.0000 6.7270 Be
0.0000 0.0000 2.9483 Ag



[14]
PmTiAlZn | Alexandria | GGA-PBE | optimized geometry; formation enthalpy at 0 K = -165 meV/atom; crystal system = cubic; spin magnetization = 0.0 μB per formula unit
1.0
0.0000 3.4345 3.4345
3.4345 0.0000 3.4345
3.4345 3.4345 0.0000
Pm Ti Al Zn
1 1 1 1
Cartesian
0.0000 0.0000 0.0000 Pm
3.4345 3.4345 3.4345 Ti
5.1517 5.1517 5.1517 Al
1.7172 1.7172 1.7172 Zn



[15]
ZrPbAu2 | Alexandria | GGA-PBE | optimized geometry; formation enthalpy at 0 K = -125 meV/atom; crystal system = orthorhombic; spin magnetization = 0.0 μB per formula unit
1.0
-1.6367 2.5907 5.1118
1.6367 -2.5907 5.1118
1.6367 2.5907 -5.1118
Zr Pb Au
1 1 2
Cartesian
0.0000 0.0000 0.0000 Zr
0.0000 2.5907 2.3767 Pb
1.6367 0.0000 2.4331 Au
0.0000 0.0000 4.8630 Au



[16]
ZrSn2W2 | Alexandria | GGA-PBE | optimized geometry; polymorph energy (0 for the lowest one) = 240 meV/atom; formation enthalpy at 0 K = 657 meV/atom; crystal system = tetragonal; spin magnetization = 0.0 μB per formula unit
1.0
-2.5601 2.5601 4.2288
2.5601 -2.5601 4.2288
2.5601 2.5601 -4.2288
Zr Sn W
1 2 2
Cartesian
0.0000 0.0000 0.0000 Zr
2.5601 0.0000 2.1144 Sn
0.0000 2.5601 2.1144 Sn
0.0000 0.0000 3.0608 W
0.0000 0.0000 5.3969 W